The following is a PBE with a Hubbard U calculation of a geometry-optimized BaSmFeSnO6 structure, from Alexandria via LeMat-Bulk.

Cell lengths 5.7383, 5.7383, 5.7383 Å; angles 60.00, 60.00, 60.00 degrees
Positions (direct):
1 Ba 0.0000 0.0000 0.0000
2 Sm 0.5000 0.5000 0.5000
3 Fe 0.2500 0.2500 0.2500
4 Sn 0.7500 0.7500 0.7500
5 O 0.0030 0.0030 0.4970
6 O 0.0030 0.4970 0.0030
7 O 0.0030 0.4970 0.4970
8 O 0.4970 0.0030 0.0030
9 O 0.4970 0.0030 0.4970
10 O 0.4970 0.4970 0.0030

Space-group type: F-43m, No. 216
Calculated density in g/cm³: 6.94
Raw total energy in Ry per atom: -0.498